1.
Material: ZnPb2Se
Method: DFT, PBE
State: relaxed

Computed properties:
DOS(E_F), states/eV per atom: 0.459
Volume, Å³/atom: 26.69
Energy relative to the lowest polymorph listed for this composition, eV per atom: 0.000
Total magnetization, Bohr magnetons per cell: 0.000
ΔE_f (raw), eV per atom: -0.1533

Unit cell a=8.528 b=8.528 c=8.528 alpha=26.23 beta=26.23 gamma=26.23
Element x y z (fractional)
Zn: 0.000 0.000 0.000
Pb: 0.524 0.524 0.524
Pb: 0.752 0.752 0.752
Se: 0.285 0.285 0.285

2.
Material: Y3Ta
Method: DFT, PBE
State: relaxed

Computed properties:
DOS(E_F), states/eV per atom: 1.284
Volume, Å³/atom: 27.09
E_form, eV/atom: 0.354
Energy relative to the lowest polymorph listed for this composition, eV per atom: 0.085
Total magnetization, Bohr magnetons per cell: 0.000

Unit cell a=5.817 b=5.817 c=5.817 alpha=131.43 beta=131.43 gamma=71.13
Element x y z (fractional)
Y: 0.000 0.000 0.000
Y: 0.250 0.750 0.500
Y: 0.750 0.250 0.500
Ta: 0.500 0.500 0.000

3.
Material: Cs2NbTe
Method: DFT, PBE
State: relaxed

Computed properties:
DOS(E_F), states/eV per atom: 0.924
Volume, Å³/atom: 43.47
Total magnetization, Bohr magnetons per cell: 4.999
ΔE_f (raw), eV per atom: 0.7194

Unit cell a=6.265 b=6.265 c=6.265 alpha=60.00 beta=60.00 gamma=60.00
Element x y z (fractional)
Cs: 0.250 0.250 0.250
Cs: 0.750 0.750 0.750
Nb: 0.000 0.000 0.000
Te: 0.500 0.500 0.500

4.
Material: Nb3Zn3H
Method: DFT, PBE
State: relaxed

Computed properties:
DOS(E_F), states/eV per atom: 0.480
Total DFT energy (no corrections), eV per atom: -5.4529
Volume, Å³/atom: 14.11
Total magnetization, Bohr magnetons per cell: 0.000

Unit cell a=8.236 b=8.236 c=8.236 alpha=60.00 beta=60.00 gamma=60.00
Element x y z (fractional)
Nb: 0.058 0.058 0.692
Nb: 0.058 0.692 0.058
Nb: 0.058 0.692 0.692
Nb: 0.308 0.308 0.942
Nb: 0.308 0.942 0.308
Nb: 0.308 0.942 0.942
Nb: 0.692 0.058 0.058
Nb: 0.692 0.058 0.692
Nb: 0.692 0.692 0.058
Nb: 0.942 0.308 0.308
Nb: 0.942 0.308 0.942
Nb: 0.942 0.942 0.308
Zn: 0.000 0.500 0.500
Zn: 0.292 0.292 0.292
Zn: 0.292 0.292 0.625
Zn: 0.292 0.625 0.292
Zn: 0.375 0.708 0.708
Zn: 0.500 0.000 0.500
Zn: 0.500 0.500 0.000
Zn: 0.500 0.500 0.500
Zn: 0.625 0.292 0.292
Zn: 0.708 0.375 0.708
Zn: 0.708 0.708 0.375
Zn: 0.708 0.708 0.708
H: 0.000 0.000 0.000
H: 0.000 0.000 0.500
H: 0.000 0.500 0.000
H: 0.500 0.000 0.000